Compound: VGaPO2
Source: the Alexandria database
Functional: PBE with a Hubbard U
Structure: relaxed

Properties
The value obtained for the polymorph energy (0 for the lowest one) is 0.642 eV per atom. As for the volume: 72.89 Å³/cell.

The structure in CIF format:
```
data_VGaPO2
_chemical_formula_sum 'V1 Ga1 P1 O2'
_space_group_name_H-M_alt 'P 4/m m m'
_space_group_IT_number 123
_space_group_name_Hall '-P 4 2'
_cell_length_a 3.695
_cell_length_b 3.695
_cell_length_c 5.338
_cell_angle_alpha 90.00
_cell_angle_beta 90.00
_cell_angle_gamma 90.00
loop_
_atom_site_label
_atom_site_type_symbol
_atom_site_fract_x
_atom_site_fract_y
_atom_site_fract_z
V1 V 0.000 0.000 0.000
Ga1 Ga 0.500 0.500 0.500
P1 P 0.500 0.500 0.000
O1 O 0.000 0.500 0.500
```